# KZn2Ni | the Alexandria database | SCAN | single point on PBEsol structure
# - Magnetization: 0.00 μB per cell
# - ΔE to the lowest computed polymorph: 0 kJ/mol of formula units
# - Energy: -12.601 eV/atom
# - Energy relative to the elements: 1.13 eV/f.u.
# - DOS at the Fermi energy: 0.98 states/eV/f.u.
data_KZn2Ni
_chemical_formula_sum 'K2 Zn4 Ni2'
_space_group_name_H-M_alt 'I m m m'
_space_group_IT_number 71
_space_group_name_Hall '-I 2 2'
_cell_length_a 2.7151
_cell_length_b 5.3383
_cell_length_c 10.4101
_cell_angle_alpha 90.00
_cell_angle_beta 90.00
_cell_angle_gamma 90.00
loop_
_atom_site_label
_atom_site_fract_x
_atom_site_fract_y
_atom_site_fract_z
K1 0.0000 0.0000 0.0000
Zn1 0.0000 0.5000 0.1900
Ni1 0.0000 0.0000 0.5000